VASP calculation (SCAN) on a PBEsol-optimized structure of Sm2Al9Co3.

## Properties
The volume comes out at 15.69 Å³/atom. The value obtained for the total moment is 0.67 Bohr magnetons per cell. As for the calculated formation energy: -727.6 kJ/mol of formula units. Its crystal system is orthorhombic. Its density of states at the Fermi level is 6.537 states/eV/f.u.

Cell: 7.3549 7.3549 9.2971 Å, 90.00 90.00 119.14°
Positions (direct):
Co 0.3296 0.6704 0.0000
Co 0.6704 0.3296 0.0000
Co 0.6704 0.3296 0.5000
Co 0.3296 0.6704 0.5000
Co 0.0000 0.0000 0.0000
Co 0.0000 0.0000 0.5000
Al 0.1258 0.1258 0.7500
Al 0.8742 0.8742 0.2500
Al 0.3354 0.9981 0.9291
Al 0.6646 0.0019 0.0709
Al 0.6646 0.0019 0.4291
Al 0.9981 0.3354 0.5709
Al 0.3354 0.9981 0.5709
Al 0.0019 0.6646 0.4291
Al 0.0019 0.6646 0.0709
Al 0.9981 0.3354 0.9291
Al 0.3321 0.3321 0.4610
Al 0.6679 0.6679 0.5390
Al 0.6679 0.6679 0.9610
Al 0.3321 0.3321 0.0390
Al 0.5537 0.3389 0.7500
Al 0.4463 0.6611 0.2500
Al 0.3389 0.5537 0.7500
Al 0.6611 0.4463 0.2500
Sm 0.6722 0.9927 0.7500
Sm 0.3278 0.0073 0.2500
Sm 0.9927 0.6722 0.7500
Sm 0.0073 0.3278 0.2500